Record 1
This record from the Alexandria database describes a geometry-optimized La2SiMo structure. The functional is GGA-PBEsol.

Output
**DFT total energy**: -28.556 eV for the cell shown
**Space group**: Imm2
**Crystal system**: orthorhombic
**ΔE_f (raw)**: -0.0873 eV/atom
**Total magnetic moment**: 0.000 μB/atom

Unit cell a=6.0252 b=6.0252 c=6.0252 alpha=144.52 beta=133.11 gamma=60.15
Fractional coordinates of all 4 atoms:
La (0.0000, 0.0000, 0.0000)
La (0.7144, 0.2144, 0.5000)
Si (0.4256, 0.4256, 0.0000)
Mo (0.2686, 0.7686, 0.5000)

***

Record 2
This record from the Alexandria database describes a geometry-optimized BeCr2Mo structure. The functional is GGA-PBEsol.

Output
**DFT total energy**: -35.640 eV for the cell shown
**Space group**: Cmm2
**Crystal system**: orthorhombic
**Total magnetic moment**: 0.000 μB/atom

Unit cell a=2.5156 b=2.5156 c=7.7345 alpha=90.00 beta=90.00 gamma=107.23
Fractional coordinates of all 4 atoms:
Be (0.0000, 0.0000, 0.0000)
Cr (0.0000, 0.0000, 0.5291)
Cr (0.5000, 0.5000, 0.7723)
Mo (0.5000, 0.5000, 0.2539)

***

Record 3
This record from the Alexandria database describes a geometry-optimized BeSiSeN2 structure. The functional is GGA-PBEsol.

Output
**DFT total energy**: -25.368 eV for the cell shown
**Space group**: P4/mmm
**Crystal system**: tetragonal
**ΔE_f (raw)**: 1.0564 eV/atom
**Total magnetic moment**: 0.053 μB/atom

Unit cell a=3.4473 b=3.4473 c=5.0406 alpha=90.00 beta=90.00 gamma=90.00
Fractional coordinates of all 5 atoms:
Be (0.0000, 0.0000, 0.0000)
Si (0.5000, 0.5000, 0.5000)
Se (0.0000, 0.0000, 0.5000)
N (0.0000, 0.5000, 0.0000)
N (0.5000, 0.0000, 0.0000)

***

Record 4
This record from the Alexandria database describes a geometry-optimized FeWAu structure. The functional is GGA-PBEsol.

Output
**DFT total energy**: -25.768 eV for the cell shown
**Space group**: Fmm2
**Crystal system**: orthorhombic
**Offset from the most stable computed form**: 0.0 meV per atom
**Total magnetic moment**: 0.777 μB/atom

Unit cell a=6.7696 b=6.6215 c=2.6743 alpha=81.61 beta=75.39 gamma=23.01
Fractional coordinates of all 3 atoms:
Fe (0.0000, 0.0000, 0.0000)
W (0.6514, 0.6514, 0.3486)
Au (0.3335, 0.3335, 0.6665)

***

Record 5
This record from the Alexandria database describes a geometry-optimized Ca2BeSb structure. The functional is GGA-PBEsol.

Output
**DFT total energy**: -12.948 eV for the cell shown
**Space group**: C2/m
**Crystal system**: monoclinic
**Offset from the most stable computed form**: 403.8 meV per atom
**ΔE_f (raw)**: -0.0312 eV/atom
**Total magnetic moment**: 0.000 μB/atom

Unit cell a=4.7918 b=4.7918 c=6.9464 alpha=100.64 beta=100.64 gamma=44.59
Fractional coordinates of all 4 atoms:
Ca (0.2484, 0.2484, 0.2383)
Ca (0.7516, 0.7516, 0.7617)
Be (0.5000, 0.5000, 0.0000)
Sb (0.0000, 0.0000, 0.5000)

***

Record 6
This record from the Alexandria database describes a geometry-optimized InRu3Pt structure. The functional is GGA-PBEsol.

Output
**DFT total energy**: -27.886 eV for the cell shown
**Space group**: Pm-3m
**Crystal system**: cubic
**Total magnetic moment**: 1.133 μB/atom

Unit cell a=4.7114 b=4.7114 c=4.7114 alpha=90.00 beta=90.00 gamma=90.00
Fractional coordinates of all 5 atoms:
In (0.0000, 0.0000, 0.0000)
Ru (0.0000, 0.0000, 0.5000)
Ru (0.0000, 0.5000, 0.0000)
Ru (0.5000, 0.0000, 0.0000)
Pt (0.5000, 0.5000, 0.5000)

***

Record 7
This record from the Alexandria database describes a geometry-optimized YTa2In structure. The functional is GGA-PBEsol.

Output
**DFT total energy**: -33.355 eV for the cell shown
**Space group**: R-3m
**Crystal system**: trigonal
**Total magnetic moment**: 0.000 μB/atom

Unit cell a=10.2955 b=10.2955 c=10.2955 alpha=17.20 beta=17.20 gamma=17.20
Fractional coordinates of all 4 atoms:
Y (0.0000, 0.0000, 0.0000)
Ta (0.2464, 0.2464, 0.2464)
Ta (0.7536, 0.7536, 0.7536)
In (0.5000, 0.5000, 0.5000)

***

Record 8
This record from the Alexandria database describes a geometry-optimized HfP2IrS structure. The functional is GGA-PBEsol.

Output
**DFT total energy**: -34.146 eV for the cell shown
**Space group**: P4/mmm
**Crystal system**: tetragonal
**ΔE_f (raw)**: 0.4296 eV/atom
**Total magnetic moment**: 0.000 μB/atom

Unit cell a=4.4703 b=4.4703 c=4.7461 alpha=90.00 beta=90.00 gamma=90.00
Fractional coordinates of all 5 atoms:
Hf (0.0000, 0.0000, 0.0000)
P (0.0000, 0.5000, 0.5000)
P (0.5000, 0.0000, 0.5000)
Ir (0.5000, 0.5000, 0.5000)
S (0.5000, 0.5000, 0.0000)

***

Record 9
This record from the Alexandria database describes a geometry-optimized MgInPb2 structure. The functional is GGA-PBEsol.

Output
**DFT total energy**: -12.792 eV for the cell shown
**Space group**: C2/m
**Crystal system**: monoclinic
**Total magnetic moment**: 0.000 μB/atom

Unit cell a=5.7060 b=5.7060 c=3.3917 alpha=90.07 beta=90.07 gamma=104.62
Fractional coordinates of all 4 atoms:
Mg (0.0000, 0.0000, 0.0000)
In (0.5000, 0.5000, 0.0000)
Pb (0.0000, 0.5000, 0.5000)
Pb (0.5000, 0.0000, 0.5000)

***

Record 10
This record from the Alexandria database describes a geometry-optimized Hf3ZnCo structure. The functional is GGA-PBEsol.

Output
**DFT total energy**: -39.529 eV for the cell shown
**Space group**: Pm-3m
**Crystal system**: cubic
**Total magnetic moment**: 0.000 μB/atom

Unit cell a=4.6846 b=4.6846 c=4.6846 alpha=90.00 beta=90.00 gamma=90.00
Fractional coordinates of all 5 atoms:
Hf (0.0000, 0.0000, 0.5000)
Hf (0.0000, 0.5000, 0.0000)
Hf (0.5000, 0.0000, 0.0000)
Zn (0.5000, 0.5000, 0.5000)
Co (0.0000, 0.0000, 0.0000)

***

Record 11
This record from the Alexandria database describes a geometry-optimized V2NiP2H8O14 structure. The functional is GGA-PBEsol.

Output
**DFT total energy**: -180.817 eV for the cell shown
**Space group**: I4/m
**Crystal system**: tetragonal
**Total magnetic moment**: 0.151 μB/atom

Unit cell a=7.8406 b=7.8406 c=7.8406 alpha=133.19 beta=133.19 gamma=68.36
Fractional coordinates of all 27 atoms:
V (0.2233, 0.2233, 0.0000)
V (0.7767, 0.7767, 0.0000)
Ni (0.5000, 0.5000, 0.0000)
P (0.2500, 0.7500, 0.5000)
P (0.7500, 0.2500, 0.5000)
H (0.0951, 0.2533, 0.4733)
H (0.2200, 0.3782, 0.4733)
H (0.2533, 0.7800, 0.1582)
H (0.3782, 0.9049, 0.1582)
H (0.6218, 0.0951, 0.8418)
H (0.7467, 0.2200, 0.8418)
H (0.7800, 0.6218, 0.5267)
H (0.9049, 0.7467, 0.5267)
O (0.1220, 0.7869, 0.2686)
O (0.1466, 0.8780, 0.6648)
O (0.2131, 0.4818, 0.3352)
O (0.2487, 0.2951, 0.5438)
O (0.2951, 0.7513, 0.0464)
O (0.3478, 0.3478, 0.0000)
O (0.4818, 0.1466, 0.2686)
O (0.5182, 0.8534, 0.7314)
O (0.6522, 0.6522, 0.0000)
O (0.7049, 0.2487, 0.9536)
O (0.7513, 0.7049, 0.4562)
O (0.7869, 0.5182, 0.6648)
O (0.8534, 0.1220, 0.3352)
O (0.8780, 0.2131, 0.7314)

***

Record 12
This record from the Alexandria database describes a geometry-optimized BaSe2SN structure. The functional is GGA-PBEsol.

Output
**DFT total energy**: -23.008 eV for the cell shown
**Space group**: P4/mmm
**Crystal system**: tetragonal
**ΔE_f (raw)**: -0.0496 eV/atom
**Total magnetic moment**: 0.000 μB/atom

Unit cell a=5.5582 b=5.5582 c=3.4541 alpha=90.00 beta=90.00 gamma=90.00
Fractional coordinates of all 5 atoms:
Ba (0.0000, 0.0000, 0.0000)
Se (0.0000, 0.5000, 0.5000)
Se (0.5000, 0.0000, 0.5000)
S (0.5000, 0.5000, 0.5000)
N (0.5000, 0.5000, 0.0000)